Density functional theory data (PBE) for a geometry-optimized Sr2ZrCu structure.

Unit cell a=6.3602 b=6.3602 c=6.3602 alpha=135.94 beta=135.94 gamma=64.07
Last column: magnetic moment on the atom in μB.
Atoms (fractional coordinates):
Cu1 0.7500 0.2500 0.5000  0.04
Sr1 0.0000 0.0000 0.0000  0.12
Sr2 0.2500 0.7500 0.5000  0.11
Zr1 0.5000 0.5000 0.0000  1.19

**Total moment**: 2.7 μB/cell
**Uncorrected energy**: -13.386 eV/cell
**N(E_F)**: 5.9 states/eV per cell
**Formation energy**: 2.622 eV per formula unit
**Symmetry**: I-4m2, No. 119

Density functional theory data (PBE) for a geometry-optimized NaTlAs2 structure.

Unit cell a=5.0987 b=5.0987 c=5.0987 alpha=60.00 beta=60.00 gamma=60.00
Atoms (fractional coordinates):
Na1 0.0000 0.0000 0.0000
Tl1 0.5000 0.5000 0.5000
As1 0.2500 0.2500 0.2500
As2 0.7500 0.7500 0.7500

**Total moment**: 0.0 μB/cell
**Uncorrected energy**: -12.245 eV/cell
**N(E_F)**: 4.5 states/eV per cell
**Formation energy**: 0.739 eV per formula unit
**Symmetry**: Fm-3m, No. 225

Density functional theory data (PBE) for a geometry-optimized TiMoP2Br structure.

Unit cell a=4.8077 b=4.5334 c=4.8077 alpha=90.00 beta=90.00 gamma=90.00
Atoms (fractional coordinates):
P1 0.0000 0.0000 0.5000
P2 0.5000 0.0000 0.0000
Mo1 0.0000 0.5000 0.0000
Br1 0.0000 0.0000 0.0000
Ti1 0.5000 0.5000 0.5000

**Total moment**: 0.0 μB/cell
**Formation energy from raw total energies**: 1.652 eV/atom
**Uncorrected energy**: -22.957 eV/cell
**N(E_F)**: 6.8 states/eV per cell
**Symmetry**: P4/mmm, No. 123